The following is a DFT calculation (PBE with a Hubbard U) of CrAg4F7 after structural relaxation.

Cell and atoms, written as CIF:
```
data_CrAg4F7
_chemical_formula_sum 'Cr2 Ag8 F14'
_cell_length_a 16.9320
_cell_length_b 3.8679
_cell_length_c 6.6116
_cell_angle_alpha 90.00
_cell_angle_beta 110.51
_cell_angle_gamma 90.00
_symmetry_space_group_name_H-M 'C 1 2/m 1'
_symmetry_Int_Tables_number 12
loop_
_symmetry_equiv_pos_as_xyz
'x,y,z'
'-x,-y,-z'
'-x,y,-z'
'x,-y,z'
'x+1/2,y+1/2,z'
'-x+1/2,-y+1/2,-z'
'-x+1/2,y+1/2,-z'
'x+1/2,-y+1/2,z'
loop_
_atom_site_label
_atom_site_fract_x
_atom_site_fract_y
_atom_site_fract_z
Cr1 0.0000 0.0000 0.0000
Ag1 0.0791 0.5000 0.6784
Ag2 0.2093 0.5000 0.2548
F1 0.0000 0.5000 0.0000
F2 0.0120 0.0000 0.3025
F3 0.1210 0.0000 0.0632
F4 0.2021 0.5000 0.6300
```

As for the size of the total moment: 2.97 μB per formula unit. The total energy is -100.706 eV/cell.